(1)
Compound: Tm2ThO
Source: Alexandria
Functional: PBE
Structure: optimized geometry

abc: 3.2116 3.2116 8.4364
angles: 90.00 90.00 90.00
Space group P4/mmm (No. 123)
Asymmetric unit:
Tm 0.0000 0.0000 0.1812 x2
Th 0.5000 0.5000 0.5000 x1
O 0.5000 0.5000 0.0000 x1

Output
Energy above the most stable polymorph in this dataset (eV/f.u.): 2.333
Electronic total energy (eV for the cell shown): -24.54
Calculated density (g cm⁻³): 11.18

***

(2)
Compound: RbV2Se3
Source: Alexandria
Functional: PBE
Structure: optimized geometry

abc: 3.9360 15.7050 9.7461
angles: 90.00 90.00 90.00
Space group Cmcm (No. 63)
Asymmetric unit:
Rb 0.0000 0.2485 0.2500 x4
V 0.0000 0.0000 0.0000 x4
V 0.0000 0.4770 0.7500 x4
Se 0.0000 0.0656 0.7500 x4
Se 0.0000 0.3912 0.5485 x8

Output
Electronic total energy (eV for the cell shown): -138.04
Calculated density (g cm⁻³): 4.68

***

(3)
Compound: ZrSiAsBr2
Source: Alexandria
Functional: PBE
Structure: optimized geometry

abc: 4.9060 4.9060 5.0746
angles: 90.00 90.00 90.00
Space group P4/mmm (No. 123)
Asymmetric unit:
Zr 0.0000 0.0000 0.0000 x1
Si 0.5000 0.5000 0.5000 x1
As 0.5000 0.5000 0.0000 x1
Br 0.0000 0.5000 0.5000 x2

Output
Energy above the most stable polymorph in this dataset (eV/f.u.): 1.389
Electronic total energy (eV for the cell shown): -19.98
Calculated density (g cm⁻³): 4.81

***

(4)
Compound: HoTl2F8
Source: Alexandria
Functional: PBE
Structure: optimized geometry

abc: 7.0751 7.0751 4.5112
angles: 90.00 90.00 120.00
Space group P-3 (No. 147)
Asymmetric unit:
Ho 0.0000 0.0000 0.0000 x1
Tl 0.3333 0.6667 0.7338 x2
F 0.1508 0.3030 0.7469 x6
F 0.3333 0.6667 0.2366 x2

Output
Energy above the most stable polymorph in this dataset (eV/f.u.): 0.572
Electronic total energy (eV for the cell shown): -52.09
Calculated density (g cm⁻³): 6.16

***

ΔE_f (raw) (computed, eV per atom): -0.8044 -0.8086 0.3968 -2.5283